1.
# Th2SbPd2

Crystalline Th2SbPd2 at its relaxed geometry (GGA-PBE, the Alexandria database).

## Properties
formation energy (no corrections): -904 meV/atom
volume: 24.2 Å³/atom
N(E_F): 0.65 states/eV per atom
spin magnetization: 0.0 μB per formula unit

Cell lengths 7.757, 7.757, 4.016 Å; angles 90.00, 90.00, 90.00 degrees
Space group P4/mbm (No. 127)
Unique sites:
Th (0.177, 0.323, 0.000) x4
Sb (0.000, 0.000, 0.500) x2
Pd (0.126, 0.626, 0.500) x4

2.
# ThSbPd2

Crystalline ThSbPd2 at its relaxed geometry (GGA-PBE, the Alexandria database).

## Properties
formation energy (no corrections): -636 meV/atom
volume: 21.8 Å³/atom
N(E_F): 0.66 states/eV per atom
spin magnetization: 0.0 μB per formula unit

Cell lengths 4.577, 4.577, 4.171 Å; angles 90.00, 90.00, 90.00 degrees
Space group P4/mmm (No. 123)
Unique sites:
Th (0.000, 0.000, 0.000) x1
Sb (0.500, 0.500, 0.000) x1
Pd (0.000, 0.500, 0.500) x2

3.
# ThSb2Pd9

Crystalline ThSb2Pd9 at its relaxed geometry (GGA-PBE, the Alexandria database).

## Properties
formation energy (no corrections): -559 meV/atom
volume: 17.4 Å³/atom
N(E_F): 0.32 states/eV per atom
spin magnetization: 0.0 μB per formula unit

Cell lengths 4.156, 4.156, 12.082 Å; angles 90.00, 90.00, 90.00 degrees
Space group P4/mmm (No. 123)
Unique sites:
Th (0.000, 0.000, 0.000) x1
Sb (0.000, 0.000, 0.341) x2
Pd (0.000, 0.500, 0.174) x4
Pd (0.000, 0.500, 0.500) x2
Pd (0.500, 0.500, 0.000) x1
Pd (0.500, 0.500, 0.339) x2

- Which of these has the highest formation energy (no corrections)?
  ThSb2Pd9